# 1
CaNd2Au2 | PBE-GGA | relaxed

Structure (POSCAR):
```
CaNd2Au2
1.0
-3.3610 -2.0882 -0.0346
1.8642 -3.1262 7.5837
-4.0294 6.4251 3.6391
Ca Nd Au
2 4 4
Direct
0.0000 0.0000 0.0000
0.0000 0.5000 0.5000
0.5000 0.1592 0.6592
0.5000 0.6592 0.8408
0.5000 0.8408 0.3408
0.5000 0.3408 0.1592
0.0000 0.3660 0.8660
0.0000 0.8660 0.6340
0.0000 0.6340 0.1340
0.0000 0.1340 0.3660
```

Summary:
**Symmetry**: P4/mbm (127)
**Total energy**: -4.283 eV per atom
**DFT formation energy**: -664 meV per atom
**Spin magnetization**: 0.00 μB per formula unit

=====

# 2
Pm3Sb | PBE-GGA | relaxed

Structure (POSCAR):
```
Pm3Sb
1.0
-5.8193 1.6437 1.5935
-1.2504 -10.8453 6.6205
4.5038 5.8423 10.4211
Pm Sb
24 8
Direct
0.0041 0.2831 0.8233
0.0041 0.7169 0.1767
0.5041 0.6767 0.7831
0.5041 0.3233 0.2169
0.4959 0.2169 0.6767
0.4959 0.7831 0.3233
0.9959 0.8233 0.7169
0.9959 0.1767 0.2831
0.5254 0.3901 0.9172
0.5254 0.6099 0.0828
0.0254 0.5828 0.8901
0.0254 0.4172 0.1099
0.9746 0.1099 0.5828
0.9746 0.8901 0.4172
0.4746 0.9172 0.6099
0.4746 0.0828 0.3901
0.7254 0.0284 0.8587
0.7254 0.9716 0.1413
0.2254 0.6413 0.5284
0.2254 0.3587 0.4716
0.7746 0.4716 0.6413
0.7746 0.5284 0.3587
0.2746 0.8587 0.9716
0.2746 0.1413 0.0284
0.7812 0.7987 0.9577
0.7812 0.2013 0.0423
0.2812 0.5423 0.2987
0.2812 0.4577 0.7013
0.7188 0.7013 0.5423
0.7188 0.2987 0.4577
0.2188 0.9577 0.2013
0.2188 0.0423 0.7987
```

Summary:
**Symmetry**: P4_2/n (86)
**Total energy**: -5.206 eV per atom
**ΔE to the lowest computed polymorph**: 0.0 kJ/mol of formula units
**ΔE_f (raw)**: -0.61 eV per atom
**Spin magnetization**: 0.00 μB per formula unit

=====

# 3
Nb3GaI | PBE-GGA | relaxed

Structure (POSCAR):
```
Nb3GaI
1.0
-2.6591 -1.2827 3.8703
1.4506 -4.6160 -0.5332
3.8106 0.8621 2.9038
I Nb Ga
1 3 1
Direct
0.5000 0.5000 0.5000
0.0000 0.5000 0.0000
0.0000 0.0000 0.5000
0.5000 0.0000 0.0000
0.0000 0.0000 0.0000
```

Summary:
**Symmetry**: Pm-3m (221)
**Total energy**: -5.711 eV per atom
**ΔE to the lowest computed polymorph**: 0.0 kJ/mol of formula units
**ΔE_f (raw)**: 1.25 eV per atom
**Spin magnetization**: 0.00 μB per formula unit

=====

# 4
La6PrNd12 | PBE-GGA | relaxed

Structure (POSCAR):
```
La6PrNd12
1.0
-1.7182 -2.3892 -8.3253
1.4444 -8.4612 2.0717
-8.5396 -1.0260 1.9984
La Pr Nd
6 1 12
Direct
0.7359 0.9059 0.3033
0.6967 0.2641 0.0941
0.0941 0.6967 0.2641
0.2641 0.0941 0.6967
0.3033 0.7359 0.9059
0.9059 0.3033 0.7359
0.0000 0.0000 0.0000
0.7797 0.5333 0.4365
0.4365 0.7797 0.5333
0.5333 0.4365 0.7797
0.2203 0.4667 0.5635
0.5635 0.2203 0.4667
0.4667 0.5635 0.2203
0.0198 0.1885 0.3617
0.8115 0.6383 0.9802
0.6383 0.9802 0.8115
0.9802 0.8115 0.6383
0.1885 0.3617 0.0198
0.3617 0.0198 0.1885
```

Summary:
**Symmetry**: R-3 (148)
**Total energy**: -4.705 eV per atom
**ΔE to the lowest computed polymorph**: 180.8 kJ/mol of formula units
**DFT formation energy**: 114 meV per atom
**Spin magnetization**: 0.00 μB per formula unit

=====

# 5
YCuAu2 | PBE-GGA | relaxed

Structure (POSCAR):
```
YCuAu2
1.0
4.4733 0.0000 0.0000
0.0000 4.4733 0.0000
2.2367 2.2367 8.9791
Y Au Cu
2 4 2
Direct
0.0000 0.0000 0.0000
0.7500 0.2500 0.5000
0.5577 0.1250 0.2500
0.1923 0.6250 0.2500
0.3750 0.4423 0.7500
0.8750 0.8077 0.7500
0.5000 0.5000 0.0000
0.2500 0.7500 0.5000
```

Summary:
**Symmetry**: I-42d (122)
**Total energy**: -4.462 eV per atom
**ΔE to the lowest computed polymorph**: 159.4 kJ/mol of formula units
**DFT formation energy**: -183 meV per atom
**Spin magnetization**: 0.00 μB per formula unit

=====

# 6
ZrZnCr | PBE-GGA | relaxed

Structure (POSCAR):
```
ZrZnCr
1.0
5.2436 -0.0096 0.0000
3.1937 4.1588 0.0000
-4.2187 -2.0746 2.3226
Cr Zn Zr
1 1 1
Direct
0.9891 0.9891 0.0000
0.3495 0.3495 0.0000
0.6613 0.6613 0.0000
```

Summary:
**Symmetry**: I4mm (107)
**Total energy**: -6.396 eV per atom
**DFT formation energy**: 86 meV per atom
**Spin magnetization**: 1.97 μB per formula unit

=====

# 7
KMnCoCl6 | PBE-GGA | relaxed

Structure (POSCAR):
```
KMnCoCl6
1.0
-4.7223 -0.1004 -4.1092
-5.3987 -3.5350 1.1234
-2.6053 5.6318 3.2181
K Mn Co Cl
1 1 1 6
Direct
0.9953 0.0002 0.0007
0.3327 0.3355 0.5002
0.6424 0.6867 0.4986
0.0110 0.3776 0.3007
0.3754 0.9898 0.7086
0.6203 0.3721 0.6912
0.0072 0.6117 0.6973
0.3880 0.6215 0.2873
0.6275 0.0049 0.3152
```

Summary:
**Symmetry**: P1 (1)
**Total energy**: -4.209 eV per atom
**ΔE_f (raw)**: -1.05 eV per atom
**Spin magnetization**: 7.16 μB per formula unit

=====

# 8
Pr2CuCl2 | PBE-GGA | relaxed

Structure (POSCAR):
```
Pr2CuCl2
1.0
-1.5070 -3.5641 1.3788
1.3917 -3.5484 -1.5319
7.4361 -2.6521 7.3910
Pr Cu Cl
2 1 2
Direct
0.6102 0.6102 0.1695
0.3898 0.3898 0.8305
0.0000 0.0000 0.0000
0.2229 0.2229 0.3314
0.7771 0.7771 0.6686
```

Summary:
**Symmetry**: R-3m (166)
**Total energy**: -4.670 eV per atom
**ΔE_f (raw)**: -1.20 eV per atom
**Spin magnetization**: 0.92 μB per formula unit